# 1
! Cs2SmSnS4 | Alexandria | PBE-GGA | optimized geometry; values from VASP
&SYSTEM
  ibrav = 0, nat = 16, ntyp = 4
/
ATOMIC_SPECIES
Cs 132.91 Cs.upf
Sm 150.36 Sm.upf
Sn 118.71 Sn.upf
S 32.06 S.upf
ATOMIC_POSITIONS crystal
Cs 0.0568 0.0568 0.6932
Cs 0.3068 0.3068 0.9432
Cs 0.6932 0.6932 0.0568
Cs 0.9432 0.9432 0.3068
Sm 0.1250 0.1250 0.1250
Sm 0.8750 0.8750 0.8750
Sn 0.3750 0.3750 0.3750
Sn 0.6250 0.6250 0.6250
S 0.0165 0.3356 0.4275
S 0.2797 0.5725 0.6644
S 0.3356 0.0165 0.7203
S 0.4275 0.7203 0.0165
S 0.5725 0.2797 0.9835
S 0.6644 0.9835 0.2797
S 0.7203 0.4275 0.3356
S 0.9835 0.6644 0.5725
CELL_PARAMETERS angstrom
0.0000 7.5863 12.7395
3.4501 0.0000 12.7395
3.4501 7.5863 0.0000
! ΔE_f (raw) = -1.09 eV per atom
! DOS at the Fermi energy = 0.489 states/eV/atom
! magnetization = 0.000 μB/atom

***

# 2
! Cs4Sm3SnS8 | Alexandria | PBE-GGA | optimized geometry; values from VASP
&SYSTEM
  ibrav = 0, nat = 16, ntyp = 4
/
ATOMIC_SPECIES
Cs 132.91 Cs.upf
Sm 150.36 Sm.upf
Sn 118.71 Sn.upf
S 32.06 S.upf
ATOMIC_POSITIONS crystal
Cs 0.0000 0.0000 0.0000
Cs 0.0000 0.5000 0.5000
Cs 0.5000 0.0000 0.5000
Cs 0.5000 0.5000 0.0000
Sm 0.0000 0.0000 0.5000
Sm 0.0000 0.5000 0.0000
Sm 0.5000 0.0000 0.0000
Sn 0.5000 0.5000 0.5000
S 0.2286 0.2286 0.2286
S 0.2316 0.7255 0.7255
S 0.2745 0.2745 0.7684
S 0.2745 0.7684 0.2745
S 0.7255 0.2316 0.7255
S 0.7255 0.7255 0.2316
S 0.7684 0.2745 0.2745
S 0.7714 0.7714 0.7714
CELL_PARAMETERS angstrom
4.1843 2.4158 8.0657
-4.1843 2.4158 8.0657
0.0000 -4.8316 8.0657
! ΔE_f (raw) = -1.53 eV per atom
! DOS at the Fermi energy = 0.115 states/eV/atom
! magnetization = 0.000 μB/atom

***

# 3
! Cs3Sm3TaS8 | Alexandria | PBE-GGA | optimized geometry; values from VASP
&SYSTEM
  ibrav = 0, nat = 15, ntyp = 4
/
ATOMIC_SPECIES
Cs 132.91 Cs.upf
Sm 150.36 Sm.upf
Ta 180.95 Ta.upf
S 32.06 S.upf
ATOMIC_POSITIONS crystal
Cs 0.0000 0.5000 0.5000
Cs 0.5000 0.0000 0.5000
Cs 0.5000 0.5000 0.0000
Sm 0.0000 0.0000 0.5000
Sm 0.0000 0.5000 0.0000
Sm 0.5000 0.0000 0.0000
Ta 0.5000 0.5000 0.5000
S 0.2293 0.2293 0.2293
S 0.2564 0.7085 0.7085
S 0.2915 0.2915 0.7436
S 0.2915 0.7436 0.2915
S 0.7085 0.2564 0.7085
S 0.7085 0.7085 0.2564
S 0.7436 0.2915 0.2915
S 0.7707 0.7707 0.7707
CELL_PARAMETERS angstrom
4.0254 2.3241 8.2514
-4.0254 2.3241 8.2514
0.0000 -4.6481 8.2514
! ΔE_f (raw) = -1.61 eV per atom
! DOS at the Fermi energy = 0.307 states/eV/atom
! magnetization = 0.055 μB/atom

***

# 4
! Cs3TbSm2S6 | Alexandria | PBE-GGA | optimized geometry; values from VASP
&SYSTEM
  ibrav = 0, nat = 12, ntyp = 4
/
ATOMIC_SPECIES
Cs 132.91 Cs.upf
Tb 158.93 Tb.upf
Sm 150.36 Sm.upf
S 32.06 S.upf
ATOMIC_POSITIONS crystal
Cs 0.0000 0.0000 0.0000
Cs 0.3326 0.6674 0.0000
Cs 0.6674 0.3326 0.0000
Tb 0.5000 0.5000 0.5000
Sm 0.1666 0.8334 0.5000
Sm 0.8334 0.1666 0.5000
S 0.1096 0.4387 0.3162
S 0.2323 0.2323 0.6842
S 0.4387 0.1096 0.3162
S 0.5613 0.8904 0.6838
S 0.7677 0.7677 0.3158
S 0.8904 0.5613 0.6838
CELL_PARAMETERS angstrom
3.6143 -6.2600 0.0000
3.6143 6.2600 0.0000
-2.4098 0.0000 8.0834
! ΔE_f (raw) = -1.82 eV per atom
! DOS at the Fermi energy = 0.000 states/eV/atom
! magnetization = 0.000 μB/atom

***

# 5
! Cs3Tb2SmS6 | Alexandria | PBE-GGA | optimized geometry; values from VASP
&SYSTEM
  ibrav = 0, nat = 12, ntyp = 4
/
ATOMIC_SPECIES
Cs 132.91 Cs.upf
Tb 158.93 Tb.upf
Sm 150.36 Sm.upf
S 32.06 S.upf
ATOMIC_POSITIONS crystal
Cs 0.0000 0.0000 0.0000
Cs 0.3338 0.6662 0.0000
Cs 0.6662 0.3338 0.0000
Tb 0.1667 0.8333 0.5000
Tb 0.8333 0.1667 0.5000
Sm 0.5000 0.5000 0.5000
S 0.1014 0.4389 0.3168
S 0.2235 0.2235 0.6829
S 0.4389 0.1014 0.3168
S 0.5611 0.8986 0.6832
S 0.7765 0.7765 0.3171
S 0.8986 0.5611 0.6832
CELL_PARAMETERS angstrom
3.5932 -6.2233 0.0000
3.5932 6.2233 0.0000
-2.3961 0.0000 8.0768
! ΔE_f (raw) = -1.83 eV per atom
! DOS at the Fermi energy = 0.000 states/eV/atom
! magnetization = 0.000 μB/atom

***

# 6
! CsTb4SmS8 | Alexandria | PBE-GGA | optimized geometry; values from VASP
&SYSTEM
  ibrav = 0, nat = 14, ntyp = 4
/
ATOMIC_SPECIES
Cs 132.91 Cs.upf
Tb 158.93 Tb.upf
Sm 150.36 Sm.upf
S 32.06 S.upf
ATOMIC_POSITIONS crystal
Cs 0.0000 0.0000 0.0000
Tb 0.3672 0.3672 0.8837
Tb 0.3672 0.8837 0.3672
Tb 0.7457 0.7457 0.7457
Tb 0.8837 0.3672 0.3672
Sm 0.3659 0.3659 0.3659
S 0.1387 0.1387 0.5582
S 0.1387 0.5582 0.1387
S 0.1402 0.6153 0.6153
S 0.1441 0.1441 0.1441
S 0.5582 0.1387 0.1387
S 0.6145 0.6145 0.6145
S 0.6153 0.1402 0.6153
S 0.6153 0.6153 0.1402
CELL_PARAMETERS angstrom
4.1776 2.4119 6.9339
-4.1776 2.4119 6.9339
0.0000 -4.8239 6.9339
! ΔE_f (raw) = -1.86 eV per atom
! DOS at the Fermi energy = 0.000 states/eV/atom
! magnetization = 0.000 μB/atom

***

# 7
! Cs3Sm3TcS8 | Alexandria | PBE-GGA | optimized geometry; values from VASP
&SYSTEM
  ibrav = 0, nat = 15, ntyp = 4
/
ATOMIC_SPECIES
Cs 132.91 Cs.upf
Sm 150.36 Sm.upf
Tc 98.00 Tc.upf
S 32.06 S.upf
ATOMIC_POSITIONS crystal
Cs 0.0000 0.5000 0.5000
Cs 0.5000 0.0000 0.5000
Cs 0.5000 0.5000 0.0000
Sm 0.0000 0.0000 0.5000
Sm 0.0000 0.5000 0.0000
Sm 0.5000 0.0000 0.0000
Tc 0.5000 0.5000 0.5000
S 0.2287 0.2287 0.2287
S 0.2578 0.7066 0.7066
S 0.2934 0.2934 0.7422
S 0.2934 0.7422 0.2934
S 0.7066 0.2578 0.7066
S 0.7066 0.7066 0.2578
S 0.7422 0.2934 0.2934
S 0.7713 0.7713 0.7713
CELL_PARAMETERS angstrom
4.0364 2.3304 8.2237
-4.0364 2.3304 8.2237
0.0000 -4.6608 8.2237
! ΔE_f (raw) = -1.46 eV per atom
! magnetization = 0.200 μB/atom

***

# 8
! Cs4Sm3ThS8 | Alexandria | PBE-GGA | optimized geometry; values from VASP
&SYSTEM
  ibrav = 0, nat = 16, ntyp = 4
/
ATOMIC_SPECIES
Cs 132.91 Cs.upf
Sm 150.36 Sm.upf
Th 232.04 Th.upf
S 32.06 S.upf
ATOMIC_POSITIONS crystal
Cs 0.0000 0.0000 0.0000
Cs 0.0000 0.5000 0.5000
Cs 0.5000 0.0000 0.5000
Cs 0.5000 0.5000 0.0000
Sm 0.0000 0.0000 0.5000
Sm 0.0000 0.5000 0.0000
Sm 0.5000 0.0000 0.0000
Th 0.5000 0.5000 0.5000
S 0.2284 0.2284 0.2284
S 0.2323 0.7267 0.7267
S 0.2733 0.2733 0.7677
S 0.2733 0.7677 0.2733
S 0.7267 0.2323 0.7267
S 0.7267 0.7267 0.2323
S 0.7677 0.2733 0.2733
S 0.7716 0.7716 0.7716
CELL_PARAMETERS angstrom
4.1896 2.4189 8.1027
-4.1896 2.4189 8.1027
0.0000 -4.8377 8.1027
! ΔE_f (raw) = -1.78 eV per atom
! DOS at the Fermi energy = 0.269 states/eV/atom
! magnetization = 0.000 μB/atom

***

# 9
! Cs4SmTh3S8 | Alexandria | PBE-GGA | optimized geometry; values from VASP
&SYSTEM
  ibrav = 0, nat = 16, ntyp = 4
/
ATOMIC_SPECIES
Cs 132.91 Cs.upf
Sm 150.36 Sm.upf
Th 232.04 Th.upf
S 32.06 S.upf
ATOMIC_POSITIONS crystal
Cs 0.0000 0.0000 0.0000
Cs 0.0000 0.5000 0.5000
Cs 0.5000 0.0000 0.5000
Cs 0.5000 0.5000 0.0000
Sm 0.5000 0.5000 0.5000
Th 0.0000 0.0000 0.5000
Th 0.0000 0.5000 0.0000
Th 0.5000 0.0000 0.0000
S 0.2273 0.7307 0.7307
S 0.2301 0.2301 0.2301
S 0.2693 0.2693 0.7727
S 0.2693 0.7727 0.2693
S 0.7307 0.2273 0.7307
S 0.7307 0.7307 0.2273
S 0.7699 0.7699 0.7699
S 0.7727 0.2693 0.2693
CELL_PARAMETERS angstrom
4.1710 2.4081 8.1550
-4.1710 2.4081 8.1550
0.0000 -4.8163 8.1550
! ΔE_f (raw) = -1.69 eV per atom
! DOS at the Fermi energy = 0.618 states/eV/atom
! magnetization = 0.000 μB/atom

***

# 10
! Cs2SmThS4 | Alexandria | PBE-GGA | optimized geometry; values from VASP
&SYSTEM
  ibrav = 0, nat = 8, ntyp = 4
/
ATOMIC_SPECIES
Cs 132.91 Cs.upf
Sm 150.36 Sm.upf
Th 232.04 Th.upf
S 32.06 S.upf
ATOMIC_POSITIONS crystal
Cs 0.0000 0.0000 0.0000
Cs 0.5000 0.5000 0.0000
Sm 0.0000 0.5000 0.5000
Th 0.5000 0.0000 0.5000
S 0.2324 0.0000 0.6865
S 0.2732 0.5000 0.3125
S 0.7268 0.5000 0.6875
S 0.7676 0.0000 0.3135
CELL_PARAMETERS angstrom
7.2318 0.0000 0.0000
0.0000 4.1921 0.0000
-2.4158 0.0000 8.1190
! ΔE_f (raw) = -1.74 eV per atom
! DOS at the Fermi energy = 0.498 states/eV/atom
! magnetization = 0.000 μB/atom

***

# 11
! CsSmTiS4 | Alexandria | PBE-GGA | optimized geometry; values from VASP
&SYSTEM
  ibrav = 0, nat = 14, ntyp = 4
/
ATOMIC_SPECIES
Cs 132.91 Cs.upf
Sm 150.36 Sm.upf
Ti 47.87 Ti.upf
S 32.06 S.upf
ATOMIC_POSITIONS crystal
Cs 0.2284 0.2500 0.4385
Cs 0.7716 0.7500 0.5615
Sm 0.2853 0.2500 0.9551
Sm 0.7147 0.7500 0.0449
Ti 0.2678 0.7500 0.1607
Ti 0.7322 0.2500 0.8393
S 0.0581 0.7500 0.9299
S 0.0640 0.7500 0.3071
S 0.5001 0.0017 0.1926
S 0.5001 0.4983 0.1926
S 0.4999 0.5017 0.8074
S 0.4999 0.9983 0.8074
S 0.9360 0.2500 0.6929
S 0.9419 0.2500 0.0701
CELL_PARAMETERS angstrom
6.7376 0.0000 0.0000
0.0000 6.8693 0.0000
-3.0091 0.0000 9.0925
! ΔE_f (raw) = -1.62 eV per atom
! DOS at the Fermi energy = 0.000 states/eV/atom
! magnetization = 0.000 μB/atom

***

# 12
! Cs2Sm2TiS6 | Alexandria | PBE-GGA | optimized geometry; values from VASP
&SYSTEM
  ibrav = 0, nat = 11, ntyp = 4
/
ATOMIC_SPECIES
Cs 132.91 Cs.upf
Sm 150.36 Sm.upf
Ti 47.87 Ti.upf
S 32.06 S.upf
ATOMIC_POSITIONS crystal
Cs 0.1712 0.8288 0.0000
Cs 0.8288 0.1712 0.0000
Sm 0.3331 0.6669 0.5000
Sm 0.6669 0.3331 0.5000
Ti 0.0000 0.0000 0.5000
S 0.0620 0.3621 0.6755
S 0.2368 0.2368 0.3266
S 0.3621 0.0620 0.6755
S 0.6379 0.9380 0.3245
S 0.7632 0.7632 0.6734
S 0.9380 0.6379 0.3245
CELL_PARAMETERS angstrom
3.4469 -5.8976 0.0000
3.4469 5.8976 0.0000
-2.4003 0.0000 8.2154
! ΔE_f (raw) = -1.65 eV per atom
! magnetization = 0.000 μB/atom

***

# 13
! Cs4Sm3TmS8 | Alexandria | PBE-GGA | optimized geometry; values from VASP
&SYSTEM
  ibrav = 0, nat = 16, ntyp = 4
/
ATOMIC_SPECIES
Cs 132.91 Cs.upf
Sm 150.36 Sm.upf
Tm 168.93 Tm.upf
S 32.06 S.upf
ATOMIC_POSITIONS crystal
Cs 0.0000 0.0000 0.0000
Cs 0.0000 0.5000 0.5000
Cs 0.5000 0.0000 0.5000
Cs 0.5000 0.5000 0.0000
Sm 0.0000 0.0000 0.5000
Sm 0.0000 0.5000 0.0000
Sm 0.5000 0.0000 0.0000
Tm 0.5000 0.5000 0.5000
S 0.2285 0.2285 0.2285
S 0.2352 0.7237 0.7237
S 0.2763 0.2763 0.7648
S 0.2763 0.7648 0.2763
S 0.7237 0.2352 0.7237
S 0.7237 0.7237 0.2352
S 0.7648 0.2763 0.2763
S 0.7715 0.7715 0.7715
CELL_PARAMETERS angstrom
4.1610 2.4024 8.0806
-4.1610 2.4024 8.0806
0.0000 -4.8048 8.0806
! ΔE_f (raw) = -1.82 eV per atom
! DOS at the Fermi energy = 0.000 states/eV/atom
! magnetization = 0.000 μB/atom

***

# 14
! Cs3SmTm2S6 | Alexandria | PBE-GGA | optimized geometry; values from VASP
&SYSTEM
  ibrav = 0, nat = 12, ntyp = 4
/
ATOMIC_SPECIES
Cs 132.91 Cs.upf
Sm 150.36 Sm.upf
Tm 168.93 Tm.upf
S 32.06 S.upf
ATOMIC_POSITIONS crystal
Cs 0.0000 0.0000 0.0000
Cs 0.3345 0.6655 0.0000
Cs 0.6655 0.3345 0.0000
Sm 0.5000 0.5000 0.5000
Tm 0.1667 0.8333 0.5000
Tm 0.8333 0.1667 0.5000
S 0.0976 0.4396 0.3187
S 0.2184 0.2184 0.6808
S 0.4396 0.0976 0.3187
S 0.5604 0.9024 0.6813
S 0.7816 0.7816 0.3192
S 0.9024 0.5604 0.6813
CELL_PARAMETERS angstrom
3.5519 -6.1520 0.0000
3.5519 6.1520 0.0000
-2.3684 0.0000 8.0632
! ΔE_f (raw) = -1.82 eV per atom
! DOS at the Fermi energy = 0.000 states/eV/atom
! magnetization = 0.000 μB/atom

***

# 15
! Cs2SmUS4 | Alexandria | PBE-GGA | optimized geometry; values from VASP
&SYSTEM
  ibrav = 0, nat = 8, ntyp = 4
/
ATOMIC_SPECIES
Cs 132.91 Cs.upf
Sm 150.36 Sm.upf
U 238.03 U.upf
S 32.06 S.upf
ATOMIC_POSITIONS crystal
Cs 0.0000 0.0000 0.0000
Cs 0.5000 0.5000 0.0000
Sm 0.0000 0.5000 0.5000
U 0.5000 0.0000 0.5000
S 0.2335 0.0000 0.6849
S 0.2779 0.5000 0.3176
S 0.7221 0.5000 0.6824
S 0.7665 0.0000 0.3151
CELL_PARAMETERS angstrom
7.1913 0.0000 0.0000
0.0000 4.1564 0.0000
-2.4034 0.0000 8.0998
! ΔE_f (raw) = -1.56 eV per atom
! DOS at the Fermi energy = 0.847 states/eV/atom
! magnetization = 0.373 μB/atom

***

# 16
! Cs2SmYS4 | Alexandria | PBE-GGA | optimized geometry; values from VASP
&SYSTEM
  ibrav = 0, nat = 8, ntyp = 4
/
ATOMIC_SPECIES
Cs 132.91 Cs.upf
Sm 150.36 Sm.upf
Y 88.91 Y.upf
S 32.06 S.upf
ATOMIC_POSITIONS crystal
Cs 0.0000 0.0000 0.0000
Cs 0.5000 0.5000 0.0000
Sm 0.0000 0.5000 0.5000
Y 0.5000 0.0000 0.5000
S 0.2325 0.0000 0.6842
S 0.2767 0.5000 0.3173
S 0.7233 0.5000 0.6827
S 0.7675 0.0000 0.3158
CELL_PARAMETERS angstrom
7.1960 0.0000 0.0000
0.0000 4.1550 0.0000
-2.3992 0.0000 8.0774
! ΔE_f (raw) = -1.83 eV per atom
! DOS at the Fermi energy = 0.000 states/eV/atom
! magnetization = 0.000 μB/atom

***

# 17
! CsSmZnS3 | Alexandria | PBE-GGA | optimized geometry; values from VASP
&SYSTEM
  ibrav = 0, nat = 12, ntyp = 4
/
ATOMIC_SPECIES
Cs 132.91 Cs.upf
Sm 150.36 Sm.upf
Zn 65.41 Zn.upf
S 32.06 S.upf
ATOMIC_POSITIONS crystal
Cs 0.2105 0.2500 0.2387
Cs 0.7895 0.7500 0.7613
Sm 0.3329 0.7500 0.8577
Sm 0.6671 0.2500 0.1423
Zn 0.0822 0.2500 0.6106
Zn 0.9178 0.7500 0.3894
S 0.1260 0.2500 0.8537
S 0.1795 0.7500 0.5405
S 0.4712 0.7500 0.1519
S 0.5288 0.2500 0.8481
S 0.8205 0.2500 0.4595
S 0.8740 0.7500 0.1463
CELL_PARAMETERS angstrom
9.5039 0.0000 0.0000
0.0000 4.1031 0.0000
-3.4621 0.0000 9.3137
! ΔE_f (raw) = -1.48 eV per atom
! DOS at the Fermi energy = 0.000 states/eV/atom
! magnetization = 0.000 μB/atom

***

# 18
! Cs2SmZn2S4 | Alexandria | PBE-GGA | optimized geometry; values from VASP
&SYSTEM
  ibrav = 0, nat = 9, ntyp = 4
/
ATOMIC_SPECIES
Cs 132.91 Cs.upf
Sm 150.36 Sm.upf
Zn 65.41 Zn.upf
S 32.06 S.upf
ATOMIC_POSITIONS crystal
Cs 0.1326 0.1326 0.0528
Cs 0.8674 0.8674 0.9472
Sm 0.0000 0.0000 0.5000
Zn 0.3248 0.3248 0.5117
Zn 0.6752 0.6752 0.4883
S 0.1975 0.1975 0.6482
S 0.4730 0.4730 0.7167
S 0.5270 0.5270 0.2833
S 0.8025 0.8025 0.3518
CELL_PARAMETERS angstrom
7.7552 -2.1099 0.0000
7.7552 2.1099 0.0000
-2.6571 0.0000 7.6859
! ΔE_f (raw) = -1.14 eV per atom
! DOS at the Fermi energy = 0.438 states/eV/atom
! magnetization = 0.000 μB/atom

***

# 19
! CsSnS2 | Alexandria | PBE-GGA | optimized geometry; values from VASP
&SYSTEM
  ibrav = 0, nat = 4, ntyp = 3
/
ATOMIC_SPECIES
Cs 132.91 Cs.upf
Sn 118.71 Sn.upf
S 32.06 S.upf
ATOMIC_POSITIONS crystal
Cs 0.0000 0.0000 0.0000
Sn 0.5000 0.5000 0.5000
S 0.4056 0.4056 0.4056
S 0.5944 0.5944 0.5944
CELL_PARAMETERS angstrom
2.7209 1.5709 8.3796
-2.7209 1.5709 8.3796
0.0000 -3.1419 8.3796
! ΔE_f (raw) = -0.26 eV per atom
! DOS at the Fermi energy = 0.226 states/eV/atom
! magnetization = 0.250 μB/atom

***

# 20
! CsSnS | Alexandria | PBE-GGA | optimized geometry; values from VASP
&SYSTEM
  ibrav = 0, nat = 3, ntyp = 3
/
ATOMIC_SPECIES
Cs 132.91 Cs.upf
Sn 118.71 Sn.upf
S 32.06 S.upf
ATOMIC_POSITIONS crystal
Cs 0.0000 0.0000 0.0000
Sn 0.3333 0.6667 0.5000
S 0.6667 0.3333 0.5000
CELL_PARAMETERS angstrom
4.8455 0.0000 0.0000
-2.4227 4.1963 0.0000
0.0000 0.0000 5.6308
! ΔE_f (raw) = -0.45 eV per atom
! DOS at the Fermi energy = 0.690 states/eV/atom
! energy above the most stable polymorph in this dataset = 193 meV per atom
! magnetization = 0.000 μB/atom